First-principles (PBE) data for a relaxed SrZn2Ni crystal, as listed in Alexandria.

Lattice parameters (Å, degrees): 3.958 3.955 5.801 90.00 90.07 90.00
Space group Pm (No. 6)
Symmetry-distinct sites (fractional):
Sr1 0.000 0.000 0.000 [1 per cell]
Zn1 0.499 0.000 0.506 [1 per cell]
Zn2 0.999 0.500 0.506 [1 per cell]
Ni1 0.500 0.500 0.743 [1 per cell]

* energy of formation from the pure elements: -42 meV/atom



First-principles (PBE) data for a relaxed LiCa3Y3S8 crystal, as listed in Alexandria.

Lattice parameters (Å, degrees): 7.8783 7.8783 19.5591 90.00 90.00 120.00
Space group R-3m (No. 166, hexagonal axes)
Symmetry-distinct sites (fractional):
Li1 0.0000 0.0000 0.0000 [3 per cell]
Ca1 0.0000 0.5000 0.5000 [9 per cell]
Y1 0.0000 0.5000 0.0000 [9 per cell]
S1 0.0000 0.0000 0.2522 [6 per cell]
S2 0.0022 0.5011 0.7444 [18 per cell]

* E_form (uncorrected): -1974 meV per atom



First-principles (PBE) data for a relaxed ReTe2Ir crystal, as listed in Alexandria.

Lattice parameters (Å, degrees): 3.103 4.688 5.321 90.00 90.00 90.00
Space group Pmmm (No. 47)
Symmetry-distinct sites (fractional):
Re1 0.000 0.000 0.000 [1 per cell]
Te1 0.000 0.500 0.500 [1 per cell]
Te2 0.500 0.500 0.000 [1 per cell]
Ir1 0.500 0.000 0.500 [1 per cell]

* E_form (uncorrected): 1059 meV per atom



no.,size of the total moment (μB/f.u.),mass density (Mg/m³)
1,0.0,5.1
2,0.0,3.1
3,0.5,13.6